{"formula": "BMo2F", "functional": "GGA+U", "state": "relaxed", "space_group": "No. 225", "rho_g_cm3": 7.9, "relative_energy_mev_per_atom": 0.0, "lattice_angstrom": [[0.0000, 2.8618, 2.8618], [2.8618, 0.0000, 2.8618], [2.8618, 2.8618, 0.0000]], "species": ["B", "Mo", "Mo", "F"], "frac_coords": [[0.0000, 0.0000, 0.0000], [0.2500, 0.2500, 0.2500], [0.7500, 0.7500, 0.7500], [0.5000, 0.5000, 0.5000]]}